DFT (PBE+U) results for a relaxed structure of GeMoPO2.

## Properties
Excess energy over the best structure of this formula in the dataset   159.0 kJ/mol of formula units
Uncorrected energy   -28.2 eV per cell

CIF file:
```
data_GeMoPO2
_chemical_formula_sum 'Ge1 Mo1 P1 O2'
_cell_length_a 3.745
_cell_length_b 3.745
_cell_length_c 5.009
_cell_angle_alpha 90.00
_cell_angle_beta 90.00
_cell_angle_gamma 90.00
_space_group_name_H-M_alt 'P 4/m m m'
_space_group_IT_number 123
_space_group_name_Hall '-P 4 2'
loop_
_atom_site_label
_atom_site_type_symbol
_atom_site_fract_x
_atom_site_fract_y
_atom_site_fract_z
_atom_site_occupancy
Ge1 Ge 0.000 0.000 0.000 1
Mo1 Mo 0.500 0.500 0.500 1
P1 P 0.000 0.000 0.500 1
O1 O 0.000 0.500 0.000 1
```